1.
MnAl2Se: relaxed, GGA-PBE.

a b c (Å): 3.472 3.472 5.685
angles (deg): 90.00 90.00 90.00
Element x y z (fractional)
Mn1 0.000 0.000 0.000
Al1 0.000 0.000 0.551
Al2 0.500 0.500 0.840
Se1 0.500 0.500 0.352

## Properties
SG ... P4mm
ΔE_f (raw) ... 13 meV per atom
Electronic total energy ... -0.36912 Ry per atom

2.
Rb2Na4HgBi2: relaxed, GGA-PBE.

a b c (Å): 8.884 8.884 5.648
angles (deg): 106.68 106.68 55.27
Element x y z (fractional)
Rb1 0.132 0.132 0.146
Rb2 0.868 0.868 0.854
Na1 0.157 0.566 0.350
Na2 0.434 0.843 0.650
Na3 0.566 0.157 0.350
Na4 0.843 0.434 0.650
Hg1 0.500 0.500 0.000
Bi1 0.305 0.305 0.799
Bi2 0.695 0.695 0.201

## Properties
SG ... C2/m
Formation energy from the elements ... -1.97 eV per formula unit
Electronic total energy ... -0.14087 Ry per atom

3.
Nd3SmY7: relaxed, GGA-PBE.

a b c (Å): 7.144 7.144 8.738
angles (deg): 90.00 90.00 120.00
Element x y z (fractional)
Nd1 0.000 0.500 0.000
Nd2 0.500 0.000 0.000
Nd3 0.500 0.500 0.000
Sm1 0.333 0.667 0.663
Y1 0.167 0.335 0.336
Y2 0.167 0.833 0.336
Y3 0.335 0.167 0.663
Y4 0.665 0.833 0.336
Y5 0.667 0.333 0.337
Y6 0.833 0.167 0.663
Y7 0.833 0.665 0.663

## Properties
SG ... P3m1
Energy relative to the lowest polymorph listed for this composition ... 40 meV/atom
Formation energy from the elements ... 1.97 eV per formula unit
Electronic total energy ... -0.41628 Ry per atom

4.
Tl2InHgPt: relaxed, GGA-PBE.

a b c (Å): 5.376 5.376 5.252
angles (deg): 90.00 90.00 90.00
Element x y z (fractional)
Tl1 0.000 0.500 0.000
Tl2 0.500 0.000 0.000
In1 0.000 0.000 0.500
Hg1 0.500 0.500 0.500
Pt1 0.000 0.000 0.000

## Properties
SG ... P4/mmm
Formation energy from the elements ... -0.34 eV per formula unit
Electronic total energy ... -0.20811 Ry per atom

Q: Look up the electronic total energy of the fourth one.
A: -0.20811 Ry per atom

Q: Which value of electronic total energy does entry 3 give?
A: -0.41628 Ry per atom